Material: Th6NiC5
Method: DFT, PBE
State: relaxed

crystal system = hexagonal
ΔH_f (0 K) = -146 meV per atom

a = 6.5502 Å, b = 6.5502 Å, c = 12.7753 Å
α = 90.00°, β = 90.00°, γ = 120.00°
Space group P6_3/mcm (No. 193)
Unique sites:
1 Th 0.0000 0.3629 0.1236 (multiplicity 12)
2 Ni 0.0000 0.0000 0.2500 (multiplicity 2)
3 C 0.0000 0.3129 0.7500 (multiplicity 6)
4 C 0.3333 0.6667 0.0000 (multiplicity 4)


Material: Th6NiC4
Method: DFT, PBE
State: relaxed

crystal system = orthorhombic
ΔH_f (0 K) = -311 meV per atom

a = 3.774 Å, b = 12.448 Å, c = 19.524 Å
α = 90.00°, β = 90.00°, γ = 90.00°
Space group Cmcm (No. 63)
Unique sites:
1 Th 0.000 0.000 0.000 (multiplicity 4)
2 Th 0.000 0.161 0.250 (multiplicity 4)
3 Th 0.000 0.278 0.580 (multiplicity 8)
4 Th 0.000 0.451 0.156 (multiplicity 8)
5 Ni 0.000 0.171 0.750 (multiplicity 4)
6 C 0.000 0.084 0.126 (multiplicity 8)
7 C 0.000 0.359 0.041 (multiplicity 8)


Material: Th2NiC2
Method: DFT, PBE
State: relaxed

crystal system = tetragonal
ΔH_f (0 K) = -380 meV per atom

a = 3.771 Å, b = 3.771 Å, c = 12.304 Å
α = 90.00°, β = 90.00°, γ = 90.00°
Space group I4/mmm (No. 139)
Unique sites:
1 Th 0.000 0.000 0.146 (multiplicity 4)
2 Ni 0.000 0.000 0.500 (multiplicity 2)
3 C 0.000 0.000 0.344 (multiplicity 4)


Material: Th6Ni2C
Method: DFT, PBE
State: relaxed

crystal system = monoclinic
ΔH_f (0 K) = -267 meV per atom

a = 6.361 Å, b = 7.100 Å, c = 11.699 Å
α = 90.00°, β = 121.06°, γ = 90.00°
Space group P2_1/c (No. 14)
Unique sites:
1 Th 0.082 0.044 0.238 (multiplicity 4)
2 Th 0.225 0.686 0.066 (multiplicity 4)
3 Th 0.393 0.179 0.064 (multiplicity 4)
4 Ni 0.337 0.114 0.756 (multiplicity 4)
5 C 0.000 0.000 0.000 (multiplicity 2)


| no. | V (Å³/cell) | electronic total energy (eV/f.u.) | magnetic moment (Bohr magnetons per cell) |
| --- | --- | --- | --- |
| 1 | 474.7 | -98.2 | 0.00 |
| 2 | 917.1 | -90.6 | 0.00 |
| 3 | 175.0 | -41.0 | 0.00 |
| 4 | 452.6 | -67.7 | 0.00 |